Entry 1:
{
  "formula": "LaSc2Be2",
  "functional": "PBE-GGA",
  "state": "optimized geometry",
  "lattice_angstrom": [[-3.054, -5.547, 4.160], [6.798, -1.498, 2.992], [-0.629, 2.269, 2.564]],
  "species": ["Sc", "Sc", "Sc", "Sc", "Be", "Be", "Be", "Be", "La", "La"],
  "frac_coords": [[0.824, 0.324, 0.500], [0.676, 0.824, 0.500], [0.324, 0.176, 0.500], [0.176, 0.676, 0.500], [0.104, 0.396, 0.000], [0.604, 0.104, 0.000], [0.896, 0.604, 0.000], [0.396, 0.896, 0.000], [0.000, 0.000, 0.000], [0.500, 0.500, 0.000]],
  "e_above_lowest_polymorph_mev_per_atom": 3,
  "final_energy_ev_per_atom": -4.85,
  "e_form_mev_per_atom": 159,
  "magmom_total_mub_per_cell": 0.00,
  "volume_a3_per_cell": 199.8
}

---

Entry 2:
{
  "formula": "LiPbW",
  "functional": "PBE-GGA",
  "state": "optimized geometry",
  "lattice_angstrom": [[7.611, -0.005, 0.004], [6.846, 2.844, -0.019], [0.765, -0.814, 2.731]],
  "species": ["Li", "Pb", "W"],
  "frac_coords": [[0.991, 0.991, 0.009], [0.671, 0.671, 0.329], [0.338, 0.338, 0.662]],
  "e_above_lowest_polymorph_mev_per_atom": 0,
  "final_energy_ev_per_atom": -5.53,
  "e_form_mev_per_atom": 657,
  "magmom_total_mub_per_cell": 0.00,
  "volume_a3_per_cell": 59.1
}